# CdRe2Pt

An optimized crystal structure of CdRe2Pt (PBE, Alexandria).

```
data_CdRe2Pt
_chemical_formula_sum 'Cd3 Re6 Pt3'
_cell_length_a 2.8210
_cell_length_b 2.8210
_cell_length_c 28.1673
_cell_angle_alpha 90.00
_cell_angle_beta 90.00
_cell_angle_gamma 120.00
_space_group_name_H-M_alt 'R 3 m'
_space_group_IT_number 160
_space_group_name_Hall 'R 3 -2"'
loop_
_atom_site_label
_atom_site_fract_x
_atom_site_fract_y
_atom_site_fract_z
Cd1 0.0000 0.0000 0.0000
Re1 0.0000 0.0000 0.2425
Re2 0.0000 0.0000 0.5019
Pt1 0.0000 0.0000 0.7533
```

Results
Spin magnetization: 0.00 μB per formula unit
Calculated density: 17.4 g/cm³
Total DFT energy (no corrections): -95.07 eV for the cell shown
ΔH_f (0 K): 3.9 kJ/mol of atoms